No. 1
An optimized crystal structure of ScCuSn, computed with PBE.

## Properties
DOS(E_F) = 0.6597 states/eV per atom
E_form = -0.4498 eV per atom
space group = P-6m2 (187)

Cell lengths 4.4622, 4.4622, 3.3570 Å; angles 90.00, 90.00, 120.00 degrees
Atoms (fractional coordinates):
1 Sc 0.0000 0.0000 0.0000
2 Cu 0.3333 0.6667 0.5000
3 Sn 0.6667 0.3333 0.5000

No. 2
An optimized crystal structure of Sc12CuSn6, computed with PBE.

## Properties
DOS(E_F) = 0.9791 states/eV per atom
E_form = -0.2597 eV per atom
space group = R-3 (148)

Cell lengths 8.0971, 8.0971, 8.0971 Å; angles 99.80, 99.80, 99.80 degrees
Atoms (fractional coordinates):
1 Sc 0.0104 0.9472 0.6848
2 Sc 0.0528 0.3152 0.9896
3 Sc 0.2044 0.5478 0.4176
4 Sc 0.3152 0.9896 0.0528
5 Sc 0.4176 0.2044 0.5478
6 Sc 0.4522 0.5824 0.7956
7 Sc 0.5478 0.4176 0.2044
8 Sc 0.5824 0.7956 0.4522
9 Sc 0.6848 0.0104 0.9472
10 Sc 0.7956 0.4522 0.5824
11 Sc 0.9472 0.6848 0.0104
12 Sc 0.9896 0.0528 0.3152
13 Cu 0.0000 0.0000 0.0000
14 Sn 0.1175 0.3167 0.6443
15 Sn 0.3167 0.6443 0.1175
16 Sn 0.3557 0.8825 0.6833
17 Sn 0.6443 0.1175 0.3167
18 Sn 0.6833 0.3557 0.8825
19 Sn 0.8825 0.6833 0.3557

No. 3
An optimized crystal structure of ScCuSn, computed with PBE.

## Properties
DOS(E_F) = 0.6657 states/eV per atom
E_form = -0.3201 eV per atom
space group = Imm2 (44)

Cell lengths 8.8142, 8.8142, 8.8142 Å; angles 157.47, 152.90, 35.52 degrees
Atoms (fractional coordinates):
1 Sc 0.0000 0.0000 0.0000
2 Sc 0.2026 0.2026 0.0000
3 Cu 0.3429 0.8429 0.5000
4 Cu 0.4503 0.4503 0.0000
5 Sn 0.6075 0.6075 0.0000
6 Sn 0.8370 0.3370 0.5000

No. 4
An optimized crystal structure of Sc2CuSn2, computed with PBE.

## Properties
DOS(E_F) = 0.7738 states/eV per atom
E_form = -0.4201 eV per atom
space group = P4/mbm (127)

Cell lengths 6.9885, 6.9885, 4.4273 Å; angles 90.00, 90.00, 90.00 degrees
Atoms (fractional coordinates):
1 Sc 0.1647 0.3353 0.0000
2 Sc 0.3353 0.8353 0.0000
3 Sc 0.6647 0.1647 0.0000
4 Sc 0.8353 0.6647 0.0000
5 Cu 0.0000 0.0000 0.5000
6 Cu 0.5000 0.5000 0.5000
7 Sn 0.1461 0.6461 0.5000
8 Sn 0.3539 0.1461 0.5000
9 Sn 0.6461 0.8539 0.5000
10 Sn 0.8539 0.3539 0.5000